A plane-wave DFT calculation with PBE-GGA was carried out for crystalline AcPrHg3 at its relaxed geometry.

It has space group Cmcm (No. 63), with a = 3.869 Å, b = 30.104 Å, c = 5.086 Å, α = 90.00°, β = 90.00° and γ = 90.00°. The asymmetric unit holds Ac at (0.000, 0.075, 0.250), Pr at (0.000, 0.209, 0.750), Hg at (0.000, 0.319, 0.750), Hg at (0.000, 0.378, 0.250) and Hg at (0.000, 0.476, 0.250).

The magnetic moment comes out at 0.00 μB/f.u. The value obtained for the formation energy from the elements is -0.451 eV/atom.

=====

A plane-wave DFT calculation with PBE-GGA was carried out for crystalline Ac3Pr7Hg4 at its relaxed geometry.

It has space group C2/m (No. 12), with a = 19.626 Å, b = 5.201 Å, c = 11.966 Å, α = 90.00°, β = 127.36° and γ = 90.00°. The asymmetric unit holds Ac at (0.000, 0.000, 0.000), Ac at (0.184, 0.500, 0.685), Pr at (0.000, 0.000, 0.500), Pr at (0.014, 0.500, 0.285), Pr at (0.166, 0.000, 0.435), Pr at (0.196, 0.500, 0.035), Hg at (0.107, 0.000, 0.835) and Hg at (0.160, 0.500, 0.252).

The magnetic moment comes out at 0.00 μB/f.u. The value obtained for the formation energy from the elements is -0.233 eV/atom.

=====

A plane-wave DFT calculation with PBE-GGA was carried out for crystalline Ac2PrHg3 at its relaxed geometry.

It has space group P4/mmm (No. 123), with a = 3.987 Å, b = 3.987 Å, c = 11.964 Å, α = 90.00°, β = 90.00° and γ = 90.00°. The asymmetric unit holds Ac at (0.000, 0.000, 0.172), Pr at (0.000, 0.000, 0.500), Hg at (0.500, 0.500, 0.000) and Hg at (0.500, 0.500, 0.347).

The magnetic moment comes out at 1.05 μB/f.u. The value obtained for the formation energy from the elements is -0.467 eV/atom.

=====

A plane-wave DFT calculation with PBE-GGA was carried out for crystalline AcPrHg2 at its relaxed geometry.

It has space group P4/mmm (No. 123), with a = 3.951 Å, b = 3.951 Å, c = 7.936 Å, α = 90.00°, β = 90.00° and γ = 90.00°. The asymmetric unit holds Ac at (0.000, 0.000, 0.000), Pr at (0.000, 0.000, 0.500) and Hg at (0.500, 0.500, 0.268).

The magnetic moment comes out at 0.75 μB/f.u. The value obtained for the formation energy from the elements is -0.466 eV/atom.

=====

A plane-wave DFT calculation with PBE-GGA was carried out for crystalline AcPr5Hg4 at its relaxed geometry.

It has space group P4/mmm (No. 123), with a = 3.875 Å, b = 3.875 Å, c = 20.663 Å, α = 90.00°, β = 90.00° and γ = 90.00°. The asymmetric unit holds Ac at (0.000, 0.000, 0.000), Pr at (0.500, 0.500, 0.129), Pr at (0.500, 0.500, 0.315), Pr at (0.500, 0.500, 0.500), Hg at (0.000, 0.000, 0.219) and Hg at (0.000, 0.000, 0.407).

The magnetic moment comes out at 1.54 μB/f.u. The value obtained for the formation energy from the elements is -0.375 eV/atom.

=====

A plane-wave DFT calculation with PBE-GGA was carried out for crystalline AcPr4Hg at its relaxed geometry.

It has space group P4/mmm (No. 123), with a = 3.811 Å, b = 3.811 Å, c = 14.548 Å, α = 90.00°, β = 90.00° and γ = 90.00°. The asymmetric unit holds Ac at (0.000, 0.000, 0.000), Pr at (0.000, 0.000, 0.364), Pr at (0.500, 0.500, 0.189) and Hg at (0.500, 0.500, 0.500).

The magnetic moment comes out at 0.00 μB/f.u. The value obtained for the formation energy from the elements is -0.146 eV/atom. The calculation puts the relative energy among the computed polymorphs at 0.0 meV per atom.

=====

A plane-wave DFT calculation with PBE-GGA was carried out for crystalline AcPr3Hg3 at its relaxed geometry.

It has space group R-3 (No. 148, hexagonal axes), with a = 9.7092 Å, b = 9.7092 Å, c = 17.7052 Å, α = 90.00°, β = 90.00° and γ = 120.00°. The asymmetric unit holds Ac at (0.0000, 0.0000, 0.1333), Pr at (0.0011, 0.7537, 0.4140) and Hg at (0.0253, 0.4130, 0.4248).

The magnetic moment comes out at 0.00 μB/f.u. The value obtained for the formation energy from the elements is -0.246 eV/atom.

=====

A plane-wave DFT calculation with PBE-GGA was carried out for crystalline Ac6PrHg2 at its relaxed geometry.

It has space group C2/m (No. 12), with a = 13.844 Å, b = 4.040 Å, c = 13.185 Å, α = 90.00°, β = 108.38° and γ = 90.00°. The asymmetric unit holds Ac at (0.029, 0.000, 0.329), Ac at (0.185, 0.500, 0.591), Ac at (0.185, 0.500, 0.877), Pr at (0.000, 0.000, 0.000) and Hg at (0.141, 0.500, 0.186).

The magnetic moment comes out at 0.00 μB/f.u. The value obtained for the formation energy from the elements is -0.192 eV/atom.